# CaH3Cl PBE relaxed
data_CaH3Cl
_chemical_formula_sum 'Ca1 H3 Cl1'
_symmetry_space_group_name_H-M 'P m -3 m'
_symmetry_Int_Tables_number 221
_symmetry_space_group_name_Hall '-P 4 2 3'
_cell_length_a 4.0583
_cell_length_b 4.0583
_cell_length_c 4.0583
_cell_angle_alpha 90.00
_cell_angle_beta 90.00
_cell_angle_gamma 90.00
loop_
_atom_site_label
_atom_site_fract_x
_atom_site_fract_y
_atom_site_fract_z
Ca1 0.0000 0.0000 0.0000
H1 0.0000 0.5000 0.5000
Cl1 0.5000 0.5000 0.5000
# - E above lowest polymorph (meV per atom) = 246
# - total magnetic moment (μB per cell) = 0.000